1.
VASP calculation (PBE) on a relaxed LiTbH8Ir2 crystal.

Results
- Total moment: 0.00 Bohr magnetons per cell
- Energy: -4.58 eV per atom

abc: 7.981 4.345 6.062
angles: 90.00 114.78 90.00
Space group C2/m (No. 12)
Unique sites:
1 Li 0.000 0.000 0.000 (multiplicity 2)
2 Tb 0.000 0.500 0.500 (multiplicity 2)
3 H 0.063 0.000 0.680 (multiplicity 4)
4 H 0.166 0.244 0.312 (multiplicity 8)
5 H 0.247 0.500 0.891 (multiplicity 4)
6 Ir 0.210 0.500 0.145 (multiplicity 4)

2.
VASP calculation (PBE) on a relaxed CrCd2Sn2 crystal.

Results
- Formation energy: 531 meV/atom
- Total moment: 0.00 Bohr magnetons per cell

abc: 7.171 7.171 4.409
angles: 90.00 90.00 90.00
Space group P4/mbm (No. 127)
Unique sites:
1 Cr 0.000 0.000 0.000 (multiplicity 2)
2 Cd 0.149 0.351 0.500 (multiplicity 4)
3 Sn 0.165 0.665 0.000 (multiplicity 4)

3.
VASP calculation (PBE) on a relaxed Nd2GaAg2 crystal.

Results
- Formation energy: -343 meV/atom
- Total moment: 0.00 Bohr magnetons per cell

abc: 10.886 4.529 11.202
angles: 90.00 115.52 90.00
Space group C2/m (No. 12)
Unique sites:
1 Nd 0.021 0.000 0.343 (multiplicity 4)
2 Nd 0.195 0.000 0.114 (multiplicity 4)
3 Ga 0.226 0.500 0.337 (multiplicity 4)
4 Ag 0.018 0.500 0.883 (multiplicity 4)
5 Ag 0.147 0.500 0.561 (multiplicity 4)

Please write out number 1 again, unchanged.
VASP calculation (PBE) on a relaxed LiTbH8Ir2 crystal.

Results
- Total moment: 0.00 Bohr magnetons per cell
- Energy: -4.58 eV per atom

abc: 7.981 4.345 6.062
angles: 90.00 114.78 90.00
Space group C2/m (No. 12)
Unique sites:
1 Li 0.000 0.000 0.000 (multiplicity 2)
2 Tb 0.000 0.500 0.500 (multiplicity 2)
3 H 0.063 0.000 0.680 (multiplicity 4)
4 H 0.166 0.244 0.312 (multiplicity 8)
5 H 0.247 0.500 0.891 (multiplicity 4)
6 Ir 0.210 0.500 0.145 (multiplicity 4)

Repeat the third record exactly.
VASP calculation (PBE) on a relaxed Nd2GaAg2 crystal.

Results
- Formation energy: -343 meV/atom
- Total moment: 0.00 Bohr magnetons per cell

abc: 10.886 4.529 11.202
angles: 90.00 115.52 90.00
Space group C2/m (No. 12)
Unique sites:
1 Nd 0.021 0.000 0.343 (multiplicity 4)
2 Nd 0.195 0.000 0.114 (multiplicity 4)
3 Ga 0.226 0.500 0.337 (multiplicity 4)
4 Ag 0.018 0.500 0.883 (multiplicity 4)
5 Ag 0.147 0.500 0.561 (multiplicity 4)

- Which value of total moment does entry 3 give?
  0.00 Bohr magnetons per cell

- total moment of number 3 (Nd2GaAg2)?
  0.00 Bohr magnetons per cell